Zn2CrFe | PBE | relaxed

Unit cell a=8.731 b=2.507 c=4.730 alpha=90.00 beta=97.46 gamma=90.00
Space group C2/m (No. 12)
Unique sites:
Zn1 0.248 0.000 0.246 (multiplicity 4)
Cr1 0.000 0.000 0.500 (multiplicity 2)
Fe1 0.000 0.500 0.000 (multiplicity 2)

## Properties
Offset from the most stable computed form (eV per atom): 0.161
E_form (eV/atom): 0.225

=====

ZnCrFe6 | PBE | relaxed

Unit cell a=7.223 b=10.255 c=10.234 alpha=90.00 beta=90.00 gamma=90.00
Space group Cmmm (No. 65)
Unique sites:
Zn1 0.000 0.000 0.248 (multiplicity 4)
Zn2 0.000 0.251 0.500 (multiplicity 4)
Cr1 0.000 0.250 0.000 (multiplicity 4)
Cr2 0.000 0.500 0.248 (multiplicity 4)
Fe1 0.000 0.000 0.000 (multiplicity 2)
Fe2 0.000 0.000 0.500 (multiplicity 2)
Fe3 0.000 0.250 0.248 (multiplicity 8)
Fe4 0.000 0.500 0.000 (multiplicity 2)
Fe5 0.000 0.500 0.500 (multiplicity 2)
Fe6 0.247 0.375 0.123 (multiplicity 16)
Fe7 0.249 0.126 0.373 (multiplicity 16)

## Properties
Offset from the most stable computed form (eV per atom): 0.000
E_form (eV/atom): 0.048

=====

Zn2CrFe | PBE | relaxed

Unit cell a=4.196 b=4.196 c=5.911 alpha=90.00 beta=90.00 gamma=90.00
Space group I-4m2 (No. 119)
Unique sites:
Zn1 0.000 0.000 0.000 (multiplicity 2)
Zn2 0.000 0.500 0.250 (multiplicity 2)
Cr1 0.000 0.000 0.500 (multiplicity 2)
Fe1 0.000 0.500 0.750 (multiplicity 2)

## Properties
Offset from the most stable computed form (eV per atom): 0.069
E_form (eV/atom): 0.134

=====

ZnCrFe2 | PBE | relaxed

Unit cell a=5.832 b=5.832 c=5.832 alpha=90.00 beta=90.00 gamma=90.00
Space group F-43m (No. 216)
Unique sites:
Zn1 0.000 0.000 0.000 (multiplicity 4)
Cr1 0.250 0.250 0.250 (multiplicity 4)
Fe1 0.000 0.000 0.500 (multiplicity 4)
Fe2 0.250 0.250 0.750 (multiplicity 4)

## Properties
E_form (eV/atom): 0.168